Density functional theory data (PBE-GGA) for crystalline MgInNi at its relaxed geometry.

Cell lengths 8.562, 4.346, 6.189 Å; angles 90.00, 90.00, 90.00 degrees
Atoms (fractional coordinates):
In (0.349, 0.750, 0.230)
In (0.849, 0.750, 0.270)
In (0.151, 0.250, 0.730)
In (0.651, 0.250, 0.770)
Mg (0.119, 0.250, 0.226)
Mg (0.619, 0.250, 0.274)
Mg (0.381, 0.750, 0.726)
Mg (0.881, 0.750, 0.774)
Ni (0.607, 0.750, 0.013)
Ni (0.107, 0.750, 0.487)
Ni (0.893, 0.250, 0.513)
Ni (0.393, 0.250, 0.987)

## Properties
* space group: No. 62
* uncorrected energy: -3.466 eV per atom

Density functional theory data (PBE-GGA) for crystalline Mg4In2NiPt at its relaxed geometry.

Cell lengths 4.613, 4.613, 8.446 Å; angles 90.00, 90.00, 120.00 degrees
Atoms (fractional coordinates):
In (0.667, 0.333, 0.000)
In (0.667, 0.333, 0.500)
Mg (0.333, 0.667, 0.172)
Mg (0.000, 0.000, 0.325)
Mg (0.000, 0.000, 0.675)
Mg (0.333, 0.667, 0.828)
Ni (0.000, 0.000, 0.000)
Pt (0.333, 0.667, 0.500)

## Properties
* space group: No. 187
* uncorrected energy: -3.266 eV per atom

Density functional theory data (PBE-GGA) for crystalline MgInNiPt at its relaxed geometry.

Cell lengths 4.490, 4.490, 4.490 Å; angles 60.00, 60.00, 60.00 degrees
Atoms (fractional coordinates):
In (0.000, 0.000, 0.000)
Mg (0.500, 0.500, 0.500)
Ni (0.750, 0.750, 0.750)
Pt (0.250, 0.250, 0.250)

## Properties
* space group: No. 216
* uncorrected energy: -4.430 eV per atom

Density functional theory data (PBE-GGA) for crystalline SrMgIn4Ni2 at its relaxed geometry.

Cell lengths 7.748, 5.583, 5.583 Å; angles 45.95, 90.00, 90.00 degrees
Atoms (fractional coordinates):
In (0.209, 0.147, 0.147)
In (0.791, 0.147, 0.147)
In (0.309, 0.849, 0.849)
In (0.691, 0.849, 0.849)
Mg (0.500, 0.558, 0.558)
Ni (0.500, 0.286, 0.286)
Ni (0.000, 0.723, 0.723)
Sr (0.000, 0.440, 0.440)

## Properties
* space group: No. 38
* uncorrected energy: -3.398 eV per atom

Density functional theory data (PBE-GGA) for crystalline MgTaInNi at its relaxed geometry.

Cell lengths 4.619, 4.619, 4.619 Å; angles 60.00, 60.00, 60.00 degrees
Atoms (fractional coordinates):
In (0.000, 0.000, 0.000)
Mg (0.500, 0.500, 0.500)
Ni (0.750, 0.750, 0.750)
Ta (0.250, 0.250, 0.250)

## Properties
* space group: No. 216
* uncorrected energy: -5.016 eV per atom

Density functional theory data (PBE-GGA) for crystalline MgTaInNi at its relaxed geometry.

Cell lengths 4.575, 4.575, 4.575 Å; angles 60.00, 60.00, 60.00 degrees
Atoms (fractional coordinates):
In (0.000, 0.000, 0.000)
Mg (0.250, 0.250, 0.250)
Ni (0.750, 0.750, 0.750)
Ta (0.500, 0.500, 0.500)

## Properties
* space group: No. 216
* uncorrected energy: -5.150 eV per atom

Density functional theory data (PBE-GGA) for crystalline TbMgIn4Ni2 at its relaxed geometry.

Cell lengths 7.522, 5.503, 5.503 Å; angles 45.59, 90.00, 90.00 degrees
Atoms (fractional coordinates):
In (0.195, 0.146, 0.146)
In (0.805, 0.146, 0.146)
In (0.294, 0.856, 0.856)
In (0.706, 0.856, 0.856)
Mg (0.000, 0.440, 0.440)
Ni (0.500, 0.279, 0.279)
Ni (0.000, 0.713, 0.713)
Tb (0.500, 0.563, 0.563)

## Properties
* space group: No. 38
* uncorrected energy: -3.835 eV per atom

Density functional theory data (PBE-GGA) for crystalline MgInTcNi at its relaxed geometry.

Cell lengths 4.476, 4.476, 4.476 Å; angles 60.00, 60.00, 60.00 degrees
Atoms (fractional coordinates):
In (0.000, 0.000, 0.000)
Mg (0.500, 0.500, 0.500)
Ni (0.750, 0.750, 0.750)
Tc (0.250, 0.250, 0.250)

## Properties
* space group: No. 216
* uncorrected energy: -4.886 eV per atom

Density functional theory data (PBE-GGA) for crystalline MgTlInNi at its relaxed geometry.

Cell lengths 4.805, 4.805, 4.805 Å; angles 60.00, 60.00, 60.00 degrees
Atoms (fractional coordinates):
In (0.500, 0.500, 0.500)
Mg (0.750, 0.750, 0.750)
Ni (0.250, 0.250, 0.250)
Tl (0.000, 0.000, 0.000)

## Properties
* space group: No. 216
* uncorrected energy: -2.907 eV per atom

Density functional theory data (PBE-GGA) for crystalline TmMgIn4Ni2 at its relaxed geometry.

Cell lengths 7.556, 5.479, 5.479 Å; angles 45.44, 90.00, 90.00 degrees
Atoms (fractional coordinates):
In (0.196, 0.145, 0.145)
In (0.804, 0.145, 0.145)
In (0.295, 0.857, 0.857)
In (0.705, 0.857, 0.857)
Mg (0.000, 0.440, 0.440)
Ni (0.500, 0.279, 0.279)
Ni (0.000, 0.714, 0.714)
Tm (0.500, 0.564, 0.564)

## Properties
* space group: No. 38
* uncorrected energy: -3.802 eV per atom

Density functional theory data (PBE-GGA) for crystalline MgInNiW at its relaxed geometry.

Cell lengths 4.517, 4.517, 4.517 Å; angles 60.00, 60.00, 60.00 degrees
Atoms (fractional coordinates):
In (0.000, 0.000, 0.000)
Mg (0.250, 0.250, 0.250)
Ni (0.750, 0.750, 0.750)
W (0.500, 0.500, 0.500)

## Properties
* space group: No. 216
* uncorrected energy: -5.176 eV per atom

Density functional theory data (PBE-GGA) for crystalline YMgInNi at its relaxed geometry.

Cell lengths 4.817, 4.817, 4.817 Å; angles 60.00, 60.00, 60.00 degrees
Atoms (fractional coordinates):
In (0.250, 0.250, 0.250)
Mg (0.750, 0.750, 0.750)
Ni (0.500, 0.500, 0.500)
Y (0.000, 0.000, 0.000)

## Properties
* space group: No. 216
* uncorrected energy: -4.226 eV per atom

Density functional theory data (PBE-GGA) for crystalline YMgInNi at its relaxed geometry.

Cell lengths 4.771, 4.771, 4.771 Å; angles 60.00, 60.00, 60.00 degrees
Atoms (fractional coordinates):
In (0.500, 0.500, 0.500)
Mg (0.750, 0.750, 0.750)
Ni (0.250, 0.250, 0.250)
Y (0.000, 0.000, 0.000)

## Properties
* space group: No. 216
* uncorrected energy: -4.351 eV per atom

Density functional theory data (PBE-GGA) for crystalline YMgInNi at its relaxed geometry.

Cell lengths 4.799, 4.799, 4.799 Å; angles 60.00, 60.00, 60.00 degrees
Atoms (fractional coordinates):
In (0.000, 0.000, 0.000)
Mg (0.750, 0.750, 0.750)
Ni (0.500, 0.500, 0.500)
Y (0.250, 0.250, 0.250)

## Properties
* space group: No. 216
* uncorrected energy: -4.313 eV per atom

Density functional theory data (PBE-GGA) for crystalline YMgIn4Ni2 at its relaxed geometry.

Cell lengths 7.536, 5.516, 5.516 Å; angles 45.50, 90.00, 90.00 degrees
Atoms (fractional coordinates):
In (0.195, 0.146, 0.146)
In (0.805, 0.146, 0.146)
In (0.294, 0.856, 0.856)
In (0.706, 0.856, 0.856)
Mg (0.000, 0.441, 0.441)
Ni (0.500, 0.279, 0.279)
Ni (0.000, 0.714, 0.714)
Y (0.500, 0.563, 0.563)

## Properties
* space group: No. 38
* uncorrected energy: -4.068 eV per atom

Density functional theory data (PBE-GGA) for crystalline YMg4InNi2 at its relaxed geometry.

Cell lengths 6.139, 8.235, 8.235 Å; angles 35.21, 90.00, 90.00 degrees
Atoms (fractional coordinates):
In (0.500, 0.119, 0.119)
Mg (0.242, 0.300, 0.300)
Mg (0.758, 0.300, 0.300)
Mg (0.244, 0.690, 0.690)
Mg (0.756, 0.690, 0.690)
Ni (0.500, 0.422, 0.422)
Ni (0.500, 0.566, 0.566)
Y (0.500, 0.912, 0.912)

## Properties
* space group: No. 38
* uncorrected energy: -2.977 eV per atom

Density functional theory data (PBE-GGA) for crystalline MgZnInNi at its relaxed geometry.

Cell lengths 4.507, 4.507, 4.507 Å; angles 60.00, 60.00, 60.00 degrees
Atoms (fractional coordinates):
In (0.000, 0.000, 0.000)
Mg (0.250, 0.250, 0.250)
Ni (0.750, 0.750, 0.750)
Zn (0.500, 0.500, 0.500)

## Properties
* space group: No. 216
* uncorrected energy: -2.824 eV per atom

Density functional theory data (PBE-GGA) for crystalline MgZnInNi at its relaxed geometry.

Cell lengths 4.516, 4.516, 4.516 Å; angles 60.00, 60.00, 60.00 degrees
Atoms (fractional coordinates):
In (0.000, 0.000, 0.000)
Mg (0.500, 0.500, 0.500)
Ni (0.250, 0.250, 0.250)
Zn (0.750, 0.750, 0.750)

## Properties
* space group: No. 216
* uncorrected energy: -2.853 eV per atom

Density functional theory data (PBE-GGA) for crystalline MgZrInNi at its relaxed geometry.

Cell lengths 4.581, 4.581, 4.581 Å; angles 60.00, 60.00, 60.00 degrees
Atoms (fractional coordinates):
In (0.000, 0.000, 0.000)
Mg (0.250, 0.250, 0.250)
Ni (0.750, 0.750, 0.750)
Zr (0.500, 0.500, 0.500)

## Properties
* space group: No. 216
* uncorrected energy: -4.746 eV per atom

Density functional theory data (PBE-GGA) for crystalline MgInOs2 at its relaxed geometry.

Cell lengths 4.510, 4.510, 4.510 Å; angles 60.00, 60.00, 60.00 degrees
Each line ends with the local moment (μB).
Atoms (fractional coordinates):
In (0.500, 0.500, 0.500)  0.02
Mg (0.250, 0.250, 0.250)  0.01
Os (0.000, 0.000, 0.000)  0.49
Os (0.750, 0.750, 0.750)  0.26

## Properties
* space group: No. 216
* uncorrected energy: -6.229 eV per atom

Density functional theory data (PBE-GGA) for crystalline MgInPd2 at its relaxed geometry.

Cell lengths 4.582, 6.439, 13.764 Å; angles 90.00, 90.00, 90.00 degrees
Atoms (fractional coordinates):
In (0.000, 0.000, 0.000)
In (0.500, 0.500, 0.167)
In (0.000, 0.000, 0.333)
In (0.500, 0.500, 0.500)
In (0.000, 0.000, 0.667)
In (0.500, 0.500, 0.833)
Mg (0.000, 0.500, 0.000)
Mg (0.500, 0.000, 0.167)
Mg (0.000, 0.500, 0.333)
Mg (0.500, 0.000, 0.500)
Mg (0.000, 0.500, 0.667)
Mg (0.500, 0.000, 0.833)
Pd (0.500, 0.250, 0.000)
Pd (0.500, 0.750, 0.000)
Pd (0.000, 0.250, 0.167)
Pd (0.000, 0.750, 0.167)
Pd (0.500, 0.250, 0.333)
Pd (0.500, 0.750, 0.333)
Pd (0.000, 0.250, 0.500)
Pd (0.000, 0.750, 0.500)
Pd (0.500, 0.250, 0.667)
Pd (0.500, 0.750, 0.667)
Pd (0.000, 0.250, 0.833)
Pd (0.000, 0.750, 0.833)

## Properties
* space group: No. 139
* uncorrected energy: -4.337 eV per atom

Density functional theory data (PBE-GGA) for crystalline MgInPd2 at its relaxed geometry.

Cell lengths 4.583, 4.583, 4.583 Å; angles 60.00, 60.00, 60.00 degrees
Atoms (fractional coordinates):
In (0.500, 0.500, 0.500)
Mg (0.250, 0.250, 0.250)
Pd (0.000, 0.000, 0.000)
Pd (0.750, 0.750, 0.750)

## Properties
* space group: No. 216
* uncorrected energy: -4.117 eV per atom

Density functional theory data (PBE-GGA) for crystalline MgInPd2 at its relaxed geometry.

Cell lengths 4.521, 4.521, 3.326 Å; angles 90.00, 90.00, 90.00 degrees
Atoms (fractional coordinates):
In (0.000, 0.000, 0.000)
Mg (0.500, 0.500, 0.000)
Pd (0.500, 0.000, 0.500)
Pd (0.000, 0.500, 0.500)

## Properties
* space group: No. 123
* uncorrected energy: -4.325 eV per atom

Density functional theory data (PBE-GGA) for crystalline MgInPd2 at its relaxed geometry.

Cell lengths 4.646, 4.646, 7.978 Å; angles 90.00, 90.00, 120.00 degrees
Atoms (fractional coordinates):
In (0.667, 0.333, 0.250)
In (0.333, 0.667, 0.750)
Mg (0.000, 0.000, 0.250)
Mg (0.000, 0.000, 0.750)
Pd (0.333, 0.667, 0.084)
Pd (0.333, 0.667, 0.416)
Pd (0.667, 0.333, 0.584)
Pd (0.667, 0.333, 0.916)

## Properties
* space group: No. 194
* uncorrected energy: -3.951 eV per atom

Density functional theory data (PBE-GGA) for crystalline MgInPd2 at its relaxed geometry.

Cell lengths 6.339, 6.361, 6.719 Å; angles 90.00, 90.00, 90.00 degrees
Atoms (fractional coordinates):
In (0.250, 0.250, 0.000)
In (0.750, 0.750, 0.000)
In (0.250, 0.250, 0.500)
In (0.750, 0.750, 0.500)
Mg (0.750, 0.250, 0.000)
Mg (0.250, 0.750, 0.000)
Mg (0.250, 0.750, 0.500)
Mg (0.750, 0.250, 0.500)
Pd (0.000, 0.000, 0.250)
Pd (0.000, 0.500, 0.250)
Pd (0.500, 0.000, 0.250)
Pd (0.500, 0.500, 0.250)
Pd (0.500, 0.000, 0.750)
Pd (0.500, 0.500, 0.750)
Pd (0.000, 0.000, 0.750)
Pd (0.000, 0.500, 0.750)

## Properties
* space group: No. 65
* uncorrected energy: -4.325 eV per atom

Density functional theory data (PBE-GGA) for crystalline Mg2InPd3 at its relaxed geometry.

Cell lengths 4.544, 4.544, 5.575 Å; angles 90.00, 90.00, 120.00 degrees
Atoms (fractional coordinates):
In (0.000, 0.000, 0.000)
Mg (0.667, 0.333, 0.334)
Mg (0.333, 0.667, 0.666)
Pd (0.333, 0.667, 0.176)
Pd (0.000, 0.000, 0.500)
Pd (0.667, 0.333, 0.824)

## Properties
* space group: No. 164
* uncorrected energy: -4.260 eV per atom